[1]
Co2AuCl | PBE | relaxed

a = 3.846 Å, b = 3.846 Å, c = 5.869 Å
α = 79.73°, β = 79.73°, γ = 44.37°
Each line ends with the local moment (μB).
Atoms (fractional coordinates):
Au1 0.750 0.750 0.750  0.02
Co1 0.999 0.999 0.050  1.73
Co2 0.501 0.501 0.450  1.73
Cl1 0.250 0.250 0.250  0.14

Volume in Å³ per cell: 59.6

---

[2]
CrAgSN2 | PBE | relaxed

a = 4.012 Å, b = 4.012 Å, c = 5.160 Å
α = 90.00°, β = 90.00°, γ = 90.00°
Each line ends with the local moment (μB).
Atoms (fractional coordinates):
Ag1 0.000 0.000 0.000  0.13
Cr1 0.500 0.500 0.500  -3.89
N1 0.000 0.500 0.000  0.95
N2 0.500 0.000 0.000  0.95
S1 0.000 0.000 0.500  0.23

Volume in Å³ per cell: 83.1

---

[3]
ScZnNi3 | PBE | relaxed

a = 4.887 Å, b = 8.458 Å, c = 5.933 Å
α = 135.47°, β = 114.32°, γ = 90.00°
Atoms (fractional coordinates):
Ni1 0.250 0.952 0.500
Ni2 0.192 0.692 0.883
Ni3 0.808 0.308 0.117
Ni4 0.308 0.308 0.117
Ni5 0.692 0.692 0.883
Ni6 0.750 0.048 0.500
Sc1 0.750 0.749 0.500
Sc2 0.250 0.251 0.500
Zn1 0.500 0.000 0.000
Zn2 0.000 0.500 0.000

Volume in Å³ per cell: 139.2

---

[4]
Ti2Al4V3 | PBE | relaxed

a = 5.009 Å, b = 5.009 Å, c = 6.950 Å
α = 99.89°, β = 99.89°, γ = 121.57°
Atoms (fractional coordinates):
Ti1 0.623 0.623 0.246
Ti2 0.377 0.377 0.754
V1 0.000 0.500 0.000
V2 0.000 0.000 0.000
V3 0.500 0.000 0.000
Al1 0.668 0.982 0.650
Al2 0.332 0.018 0.350
Al3 0.018 0.332 0.350
Al4 0.982 0.668 0.650

Volume in Å³ per cell: 139.1

---

[5]
KRb2F | PBE | relaxed

a = 4.348 Å, b = 4.348 Å, c = 12.152 Å
α = 79.70°, β = 79.70°, γ = 60.00°
Atoms (fractional coordinates):
Rb1 0.878 0.878 0.366
Rb2 0.122 0.122 0.634
F1 0.500 0.500 0.500
K1 0.000 0.000 0.000

Volume in Å³ per cell: 194.6

---

[6]
CoBSbTe2 | PBE | relaxed

a = 4.758 Å, b = 4.758 Å, c = 4.657 Å
α = 90.00°, β = 90.00°, γ = 90.00°
Atoms (fractional coordinates):
Te1 0.000 0.500 0.000
Te2 0.500 0.000 0.000
Sb1 0.000 0.000 0.500
B1 0.000 0.000 0.000
Co1 0.500 0.500 0.500

Volume in Å³ per cell: 105.4

---

[7]
CrCdP2Cl | PBE | relaxed

a = 4.913 Å, b = 4.913 Å, c = 5.080 Å
α = 90.00°, β = 90.00°, γ = 90.00°
Each line ends with the local moment (μB).
Atoms (fractional coordinates):
Cr1 0.500 0.500 0.500  0.25
P1 0.000 0.500 0.000  -0.02
P2 0.500 0.000 0.000  -0.02
Cd1 0.000 0.000 0.000  0.00
Cl1 0.000 0.000 0.500  -0.03

Volume in Å³ per cell: 122.6

---

[8]
BAu2S | PBE | relaxed

a = 5.885 Å, b = 5.885 Å, c = 5.909 Å
α = 60.13°, β = 60.13°, γ = 90.00°
Atoms (fractional coordinates):
B1 0.250 0.750 0.500
B2 0.500 0.500 0.000
Au1 0.181 0.625 0.250
Au2 0.569 0.125 0.250
Au3 0.375 0.431 0.750
Au4 0.875 0.819 0.750
S1 0.000 0.000 0.000
S2 0.750 0.250 0.500

Volume in Å³ per cell: 145.3

---

[9]
NaSr2Au2 | PBE | relaxed

a = 4.908 Å, b = 4.908 Å, c = 8.721 Å
α = 73.66°, β = 73.66°, γ = 90.00°
Atoms (fractional coordinates):
Sr1 0.366 0.366 0.268
Sr2 0.634 0.634 0.732
Na1 0.000 0.000 0.000
Au1 0.750 0.250 0.500
Au2 0.250 0.750 0.500

Volume in Å³ per cell: 192.7

---

[10]
LaZnHg2 | PBE | relaxed

a = 4.470 Å, b = 3.502 Å, c = 6.647 Å
α = 77.21°, β = 90.00°, γ = 90.00°
Each line ends with the local moment (μB).
Atoms (fractional coordinates):
Hg1 0.000 0.618 0.528  0.00
Hg2 0.000 0.882 0.972  0.00
La1 0.500 0.250 0.250  0.12
Zn1 0.500 0.750 0.750  0.00

Volume in Å³ per cell: 101.5

---

[11]
Pa2ReSi4Os3 | PBE | relaxed

a = 4.168 Å, b = 4.168 Å, c = 9.785 Å
α = 90.00°, β = 90.00°, γ = 90.00°
Atoms (fractional coordinates):
Si1 0.000 0.000 0.000
Si2 0.500 0.000 0.629
Si3 0.500 0.500 0.000
Si4 0.000 0.500 0.371
Pa1 0.000 0.500 0.748
Pa2 0.500 0.000 0.252
Os1 0.500 0.000 0.871
Os2 0.000 0.500 0.129
Os3 0.000 0.000 0.500
Re1 0.500 0.500 0.500

Volume in Å³ per cell: 170.0

---

[12]
UCu4Si2 | PBE | relaxed

a = 3.932 Å, b = 3.925 Å, c = 6.927 Å
α = 90.00°, β = 106.49°, γ = 90.00°
Each line ends with the local moment (μB).
Atoms (fractional coordinates):
Cu1 0.813 0.500 0.625  0.01
Cu2 0.187 0.500 0.375  0.01
Cu3 0.313 0.000 0.626  0.00
Cu4 0.687 0.000 0.374  0.00
U1 0.000 0.000 0.000  1.99
Si1 0.589 0.500 0.177  -0.02
Si2 0.411 0.500 0.823  -0.02

Volume in Å³ per cell: 102.5

---

How do the records compare in energy? In the order shown, they have -4.372, -4.887, -5.263, -6.651, -2.467, -3.714, -3.159, -3.810, -2.545, -1.954, -9.231, -5.706 eV/atom.